No. 1
Below is crystalline MgBMoH2 at its relaxed geometry, with properties calculated at the PBE level.

Unit cell a=3.593 b=3.593 c=4.136 alpha=90.00 beta=90.00 gamma=90.00
Element x y z (fractional)
Mg 0.000 0.000 0.000
B 0.500 0.500 0.000
Mo 0.500 0.500 0.500
H 0.000 0.500 0.500
H 0.500 0.000 0.500

Calculated values
- E_tot (eV per atom) = -4.87

No. 2
Below is crystalline OsRu2Br at its relaxed geometry, with properties calculated at the PBE level.

Unit cell a=9.908 b=2.853 c=4.425 alpha=90.00 beta=92.66 gamma=90.00
Element x y z (fractional)
Os 0.000 0.000 0.000
Os 0.500 0.500 0.000
Ru 0.060 0.500 0.541
Ru 0.278 0.000 0.806
Ru 0.560 0.000 0.541
Ru 0.778 0.500 0.806
Br 0.282 0.500 0.302
Br 0.782 0.000 0.302

Calculated values
- energy relative to the elements, uncorrected (kJ/mol of atoms) = 81.87
- distance to the lowest polymorph of the same formula (meV/atom) = 223

No. 3
Below is crystalline Sm3Al2SnPt9 at its relaxed geometry, with properties calculated at the PBE level.

Unit cell a=5.660 b=5.660 c=11.999 alpha=90.00 beta=90.00 gamma=120.00
Element x y z (fractional)
Sm 0.000 0.000 0.000
Sm 0.333 0.667 0.769
Sm 0.667 0.333 0.231
Al 0.333 0.667 0.161
Al 0.667 0.333 0.839
Sn 0.000 0.000 0.500
Pt 0.000 0.500 0.000
Pt 0.166 0.331 0.317
Pt 0.166 0.834 0.317
Pt 0.331 0.166 0.683
Pt 0.500 0.000 0.000
Pt 0.500 0.500 0.000
Pt 0.669 0.834 0.317
Pt 0.834 0.166 0.683
Pt 0.834 0.669 0.683

Calculated values
- ΔE_f (meV per atom) = -834

No. 4
Below is crystalline PaFeAu at its relaxed geometry, with properties calculated at the PBE level.

Unit cell a=3.606 b=3.606 c=19.507 alpha=90.00 beta=90.00 gamma=90.00
Element x y z (fractional)
Pa 0.000 0.000 0.153
Pa 0.000 0.000 0.847
Pa 0.500 0.500 0.347
Pa 0.500 0.500 0.653
Fe 0.000 0.000 0.269
Fe 0.000 0.000 0.731
Fe 0.500 0.500 0.231
Fe 0.500 0.500 0.769
Au 0.000 0.000 0.431
Au 0.000 0.000 0.569
Au 0.500 0.500 0.069
Au 0.500 0.500 0.931

Calculated values
- ΔE_f (meV per atom) = -32

No. 5
Below is crystalline CoSbPdI2 at its relaxed geometry, with properties calculated at the PBE level.

Unit cell a=5.345 b=5.345 c=4.731 alpha=90.00 beta=90.00 gamma=90.00
Element x y z (fractional)
Co 0.000 0.000 0.000
Sb 0.000 0.000 0.500
Pd 0.500 0.500 0.500
I 0.000 0.500 0.000
I 0.500 0.000 0.000

Calculated values
- energy relative to the elements, uncorrected (kJ/mol of atoms) = 57.59
- distance to the lowest polymorph of the same formula (meV/atom) = 0

No. 6
Below is crystalline TlCuMo at its relaxed geometry, with properties calculated at the PBE level.

Unit cell a=2.972 b=2.972 c=6.948 alpha=90.00 beta=90.00 gamma=120.00
Element x y z (fractional)
Tl 0.000 0.000 0.000
Cu 0.667 0.333 0.343
Mo 0.333 0.667 0.639

Calculated values
- ΔE_f (meV per atom) = 658
- distance to the lowest polymorph of the same formula (meV/atom) = 33

No. 7
Below is crystalline Sc2H2O at its relaxed geometry, with properties calculated at the PBE level.

Unit cell a=5.843 b=5.843 c=3.184 alpha=90.00 beta=90.00 gamma=90.00
Element x y z (fractional)
Sc 0.186 0.314 0.000
Sc 0.314 0.814 0.000
Sc 0.686 0.186 0.000
Sc 0.814 0.686 0.000
H 0.132 0.632 0.500
H 0.368 0.132 0.500
H 0.632 0.868 0.500
H 0.868 0.368 0.500
O 0.000 0.000 0.000
O 0.500 0.500 0.000

Calculated values
- distance to the lowest polymorph of the same formula (meV/atom) = 0

No. 8
Below is crystalline NaB2SeO6 at its relaxed geometry, with properties calculated at the PBE level.

Unit cell a=6.510 b=6.510 c=4.999 alpha=103.26 beta=103.26 gamma=88.68
Element x y z (fractional)
Na 0.090 0.910 0.750
Na 0.910 0.090 0.250
B 0.205 0.363 0.841
B 0.363 0.205 0.341
B 0.637 0.795 0.659
B 0.795 0.637 0.159
Se 0.276 0.724 0.250
Se 0.724 0.276 0.750
O 0.013 0.745 0.313
O 0.185 0.592 0.870
O 0.255 0.987 0.187
O 0.271 0.338 0.144
O 0.338 0.271 0.644
O 0.408 0.815 0.630
O 0.592 0.185 0.370
O 0.662 0.729 0.356
O 0.729 0.662 0.856
O 0.745 0.013 0.813
O 0.815 0.408 0.130
O 0.987 0.255 0.687

Calculated values
- energy relative to the elements, uncorrected (kJ/mol of atoms) = -144.86

No. 9
Below is crystalline NbTcAs2 at its relaxed geometry, with properties calculated at the PBE level.

Unit cell a=3.974 b=3.974 c=17.853 alpha=90.00 beta=90.00 gamma=90.00
Element x y z (fractional)
Nb 0.000 0.000 0.000
Nb 0.000 0.500 0.250
Nb 0.500 0.000 0.750
Nb 0.500 0.500 0.500
Tc 0.000 0.000 0.500
Tc 0.000 0.500 0.750
Tc 0.500 0.000 0.250
Tc 0.500 0.500 0.000
As 0.233 0.250 0.625
As 0.250 0.733 0.875
As 0.250 0.767 0.375
As 0.267 0.250 0.125
As 0.733 0.750 0.125
As 0.750 0.233 0.375
As 0.750 0.267 0.875
As 0.767 0.750 0.625

Calculated values
- ΔE_f (meV per atom) = 180
- distance to the lowest polymorph of the same formula (meV/atom) = 350

No. 10
Below is crystalline CsLaCuI5 at its relaxed geometry, with properties calculated at the PBE level.

Unit cell a=8.649 b=8.649 c=11.819 alpha=104.23 beta=104.23 gamma=105.28
Element x y z (fractional)
Cs 0.142 0.858 0.750
Cs 0.858 0.142 0.250
La 0.500 0.500 0.000
La 0.500 0.500 0.500
Cu 0.191 0.809 0.250
Cu 0.809 0.191 0.750
I 0.110 0.274 0.923
I 0.184 0.599 0.379
I 0.274 0.110 0.423
I 0.401 0.816 0.121
I 0.417 0.583 0.750
I 0.583 0.417 0.250
I 0.599 0.184 0.879
I 0.726 0.890 0.577
I 0.816 0.401 0.621
I 0.890 0.726 0.077

Calculated values
- energy relative to the elements, uncorrected (kJ/mol of atoms) = -112.08

No. 11
Below is crystalline HgIrS2O8 at its relaxed geometry, with properties calculated at the PBE level.

Unit cell a=4.860 b=4.860 c=8.815 alpha=95.66 beta=95.66 gamma=64.74
Element x y z (fractional)
Hg 0.000 0.000 0.000
Ir 0.000 0.000 0.500
S 0.375 0.375 0.677
S 0.625 0.625 0.323
O 0.251 0.251 0.537
O 0.255 0.720 0.666
O 0.280 0.745 0.334
O 0.313 0.313 0.822
O 0.687 0.687 0.178
O 0.720 0.255 0.666
O 0.745 0.280 0.334
O 0.749 0.749 0.463

Calculated values
- energy relative to the elements, uncorrected (kJ/mol of atoms) = -85.93

No. 12
Below is crystalline RbNaLi2Mg at its relaxed geometry, with properties calculated at the PBE level.

Unit cell a=5.723 b=5.723 c=6.630 alpha=90.00 beta=90.00 gamma=90.00
Element x y z (fractional)
Rb 0.000 0.000 0.000
Na 0.000 0.000 0.500
Li 0.000 0.500 0.500
Li 0.500 0.000 0.500
Mg 0.500 0.500 0.000

Calculated values
- ΔE_f (meV per atom) = 469

| no. | D(E_F) (states/eV/atom) |
| --- | --- |
| 1 | 0.380 |
| 2 | 0.899 |
| 3 | 0.442 |
| 4 | 1.007 |
| 5 | 1.282 |
| 6 | 0.828 |
| 7 | 0.498 |
| 8 | 0.099 |
| 9 | 1.026 |
| 10 | 0.000 |
| 11 | 0.562 |
| 12 | 0.779 |